No. 1
Material: Y2ScCr
Method: DFT, PBE
State: relaxed

Cell and atoms, written as POSCAR:
```
Y2ScCr
1.0
-6.756 -7.985 -0.378
-5.093 -8.796 2.496
-7.703 -6.592 2.597
Cr Sc Y
1 1 2
Cartesian
-4.888 -5.843 1.179
-14.664 -17.530 3.537
-19.394 -23.185 4.677
-9.934 -11.875 2.396
```

Output
E_form: 0.38 eV per atom
Energy above the most stable polymorph in this dataset: 0.186 eV/atom
Space-group type: R-3m (166)
Raw total energy: -6.837 eV per atom

---

No. 2
Material: Y4ScCr
Method: DFT, PBE
State: relaxed

Cell and atoms, written as POSCAR:
```
Y4ScCr
1.0
0.000 4.488 4.488
4.488 0.000 4.488
4.488 4.488 0.000
Y Sc Cr
4 1 1
Cartesian
5.614 3.361 5.614
3.361 5.614 5.614
5.614 5.614 3.361
3.361 3.361 3.361
0.000 0.000 0.000
6.731 6.731 6.731
```

Output
E_form: 0.62 eV per atom
Space-group type: F-43m (216)
Raw total energy: -6.348 eV per atom

---

No. 3
Material: YScCr2
Method: DFT, PBE
State: relaxed

Cell and atoms, written as POSCAR:
```
YScCr2
1.0
-0.106 -3.108 -0.067
2.681 -0.125 1.577
-1.343 -0.135 8.420
Cr Sc Y
2 1 1
Cartesian
2.415 -0.126 2.030
0.467 -1.618 2.151
0.933 -0.129 4.548
0.767 -1.749 7.776
```

Output
E_form: 0.25 eV per atom
Energy above the most stable polymorph in this dataset: 0.000 eV/atom
Space-group type: P4mm (99)
Raw total energy: -7.763 eV per atom

---

No. 4
Material: YScCr2
Method: DFT, PBE
State: relaxed

Cell and atoms, written as POSCAR:
```
YScCr2
1.0
0.000 3.428 3.428
3.428 0.000 3.428
3.428 3.428 0.000
Y Cr Sc
1 2 1
Cartesian
3.428 3.428 3.428
1.714 1.714 1.714
5.142 5.142 5.142
0.000 0.000 0.000
```

Output
E_form: 0.38 eV per atom
Energy above the most stable polymorph in this dataset: 0.132 eV/atom
Space-group type: Fm-3m (225)
Raw total energy: -7.631 eV per atom

---

No. 5
Material: Y2ScCr
Method: DFT, PBE
State: relaxed

Cell and atoms, written as POSCAR:
```
Y2ScCr
1.0
4.901 0.000 0.000
0.000 3.431 0.002
0.000 1.702 6.159
Cr Sc Y
1 1 2
Cartesian
0.000 3.205 3.104
2.450 3.210 4.575
0.000 4.922 5.892
2.450 1.495 1.832
```

Output
E_form: 0.28 eV per atom
Energy above the most stable polymorph in this dataset: 0.080 eV/atom
Space-group type: Pm (6)
Raw total energy: -6.944 eV per atom

---

No. 6
Material: Y2ScCr
Method: DFT, PBE
State: relaxed

Cell and atoms, written as POSCAR:
```
Y2ScCr
1.0
0.000 3.698 3.698
3.698 0.000 3.698
3.698 3.698 0.000
Y Cr Sc
2 1 1
Cartesian
1.849 1.849 1.849
5.548 5.548 5.548
3.698 3.698 3.698
0.000 0.000 0.000
```

Output
E_form: 0.27 eV per atom
Energy above the most stable polymorph in this dataset: 0.072 eV/atom
Space-group type: Fm-3m (225)
Raw total energy: -6.952 eV per atom

---

Q: Among the records above, which one has the highest E_form?
A: Y4ScCr

---

Q: Number 4 is which compound?
A: YScCr2

---

Q: Which of these has the lowest E_form?
A: number 3

---

Q: Which of these has the lowest raw total energy?
A: number 3